{"formula": "AlTcSe2", "functional": "PBE", "state": "relaxed", "lattice": [[-0.589, 2.691, -2.957], [-2.853, 2.824, -0.463], [2.408, 5.422, 1.898]], "species": ["Se", "Se", "Tc", "Al"], "fractional_positions": [[0.513, 0.513, 0.523], [0.987, 0.987, 0.977], [0.750, 0.750, 0.750], [0.250, 0.250, 0.250]], "volume_a3_per_atom": 18.2, "spacegroup": "C2/m, No. 12", "raw_formation_energy_ev_per_atom": -0.018, "final_energy_ev_per_atom": -5.29}